# 1
A plane-wave DFT calculation with PBE was carried out for crystalline Ac4In5Pt6 at its relaxed geometry.

total energy = -5.27 eV per atom
DFT formation energy = -0.847 eV per atom
spin magnetization = 0.0 Bohr magnetons per cell
Fermi-level density of states = 8.65 states/eV/f.u.

Lattice parameters (Å, degrees): 4.395 21.443 16.513 90.00 90.00 90.00
Space group Cmc2_1 (No. 36)
Symmetry-distinct sites (fractional):
Ac (0.000, 0.002, 0.000)
Ac (0.000, 0.033, 0.263)
Ac (0.000, 0.162, 0.788)
Ac (0.000, 0.186, 0.427)
In (0.000, 0.152, 0.112)
In (0.000, 0.300, 0.100)
In (0.000, 0.339, 0.755)
In (0.000, 0.362, 0.465)
In (0.000, 0.443, 0.159)
Pt (0.000, 0.120, 0.602)
Pt (0.000, 0.216, 0.969)
Pt (0.000, 0.234, 0.243)
Pt (0.000, 0.424, 0.888)
Pt (0.000, 0.428, 0.617)
Pt (0.000, 0.443, 0.333)

# 2
A plane-wave DFT calculation with PBE was carried out for crystalline ScZn9Pd2 at its relaxed geometry.

total energy = -2.60 eV per atom
DFT formation energy = -0.248 eV per atom
spin magnetization = 0.0 Bohr magnetons per cell
Fermi-level density of states = 3.38 states/eV/f.u.

Lattice parameters (Å, degrees): 5.0417 5.0417 24.9347 90.00 90.00 120.00
Space group R-3m (No. 166, hexagonal axes)
Symmetry-distinct sites (fractional):
Sc (0.0000, 0.0000, 0.0000)
Zn (0.0000, 0.0000, 0.3335)
Zn (0.0000, 0.0000, 0.5000)
Zn (0.0068, 0.5034, 0.9119)
Pd (0.0000, 0.0000, 0.1386)

# 3
A plane-wave DFT calculation with PBE was carried out for crystalline AcMgTl at its relaxed geometry.

total energy = -2.96 eV per atom
ΔE to the lowest computed polymorph = 62 meV/atom
DFT formation energy = -0.273 eV per atom
spin magnetization = 0.0 Bohr magnetons per cell
Fermi-level density of states = 1.97 states/eV/f.u.

Lattice parameters (Å, degrees): 5.1818 5.1818 4.0568 90.00 90.00 120.00
Space group P-6m2 (No. 187)
Symmetry-distinct sites (fractional):
Ac (0.0000, 0.0000, 0.0000)
Mg (0.3333, 0.6667, 0.5000)
Tl (0.6667, 0.3333, 0.5000)

# 4
A plane-wave DFT calculation with PBE was carried out for crystalline MnPb at its relaxed geometry.

total energy = -6.02 eV per atom
DFT formation energy = 0.423 eV per atom
spin magnetization = 20.9 Bohr magnetons per cell
Fermi-level density of states = 1.38 states/eV/f.u.

Lattice parameters (Å, degrees): 13.389 3.182 7.004 90.00 117.65 90.00
Space group Cm (No. 8)
Symmetry-distinct sites (fractional):
Mn (0.000, 0.000, 0.000)
Mn (0.082, 0.000, 0.420)
Mn (0.395, 0.000, 0.170)
Pb (0.211, 0.500, 0.219)
Pb (0.261, 0.500, 0.763)
Pb (0.477, 0.000, 0.638)

# 5
A plane-wave DFT calculation with PBE was carried out for crystalline CrCoN3 at its relaxed geometry.

total energy = -7.28 eV per atom
energy relative to the elements, uncorrected = 1060.5 meV/atom
spin magnetization = 2.7 Bohr magnetons per cell
Fermi-level density of states = 4.63 states/eV/f.u.

Lattice parameters (Å, degrees): 3.669 3.669 3.669 90.00 90.00 90.00
Space group Pm-3m (No. 221)
Symmetry-distinct sites (fractional):
Cr (0.000, 0.000, 0.000)
Co (0.500, 0.500, 0.500)
N (0.000, 0.000, 0.500)

# 6
A plane-wave DFT calculation with PBE was carried out for crystalline Th2Cu5Ni5 at its relaxed geometry.

total energy = -5.68 eV per atom
DFT formation energy = -0.324 eV per atom
spin magnetization = 0.0 Bohr magnetons per cell
Fermi-level density of states = 4.52 states/eV/f.u.

Lattice parameters (Å, degrees): 4.104 4.968 8.635 90.00 90.00 90.00
Space group Pmmm (No. 47)
Symmetry-distinct sites (fractional):
Th (0.000, 0.000, 0.000)
Th (0.000, 0.500, 0.500)
Cu (0.500, 0.000, 0.500)
Cu (0.500, 0.250, 0.249)
Ni (0.000, 0.000, 0.334)
Ni (0.000, 0.500, 0.165)
Ni (0.500, 0.500, 0.000)

Which value of spin magnetization does entry 3 give? 0.0 Bohr magnetons per cell